1.
Density functional theory data (GGA-PBE) for a relaxed structure of BaCd2Re.

Values from the calculation:
Energy: -13.3 eV per formula unit
ΔH_f (0 K): 0.73 eV/atom
Energy relative to the lowest polymorph listed for this composition: 113 meV/atom

Structure (POSCAR):
```
BaCd2Re
1.0
-0.489 0.963 2.943
-3.051 -0.660 -0.290
1.644 -9.014 3.224
Re Cd Ba
1 2 1
direct
0.000 0.000 0.464
0.500 0.500 0.271
0.000 0.000 0.036
0.500 0.500 0.729
```

=====

2.
Density functional theory data (GGA-PBE) for a relaxed structure of Ba4Cd2Re.

Values from the calculation:
Energy: -19.4 eV per formula unit
ΔH_f (0 K): 0.36 eV/atom

Structure (POSCAR):
```
Ba4Cd2Re
1.0
-1.534 -0.731 5.666
-5.564 -1.142 -1.654
-1.555 -9.782 1.405
Re Ba Cd
1 4 2
direct
0.000 0.000 0.000
0.500 0.000 0.000
0.830 0.830 0.340
0.000 0.500 0.000
0.170 0.170 0.660
0.370 0.370 0.259
0.630 0.630 0.741
```

=====

no.,N(E_F) (states/eV/atom),M_tot (μB/f.u.)
1,0.773,0.47
2,1.008,0.01